(a)
Here is TcTe2Rh at its PBEsol-relaxed geometry from the Alexandria database. Energies are from meta-GGA SCAN.

a = 3.303 Å, b = 3.303 Å, c = 6.514 Å
α = 90.00°, β = 90.00°, γ = 90.00°
Sites, in units of the cell vectors:
Rh 0.500 0.500 0.000
Tc 0.500 0.500 0.500
Te 0.000 0.000 0.251
Te 0.000 0.000 0.749

(b)
Here is TcTe2Rh at its PBEsol-relaxed geometry from the Alexandria database. Energies are from meta-GGA SCAN.

a = 3.249 Å, b = 3.249 Å, c = 8.966 Å
α = 79.56°, β = 79.56°, γ = 60.00°
Sites, in units of the cell vectors:
Te 0.094 0.094 0.717
Rh 0.000 0.000 0.000
Te 0.906 0.906 0.283
Tc 0.500 0.500 0.500

(a) is the most stable structure; the next one sits 129 meV per atom above it.

(a)
Here is TcTe2Rh at its PBEsol-relaxed geometry from the Alexandria database. Energies are from meta-GGA SCAN.

a = 3.899 Å, b = 3.899 Å, c = 5.479 Å
α = 110.84°, β = 110.84°, γ = 90.00°
Sites, in units of the cell vectors:
Te 0.750 0.250 0.500
Tc 0.250 0.750 0.500
Rh 0.500 0.500 0.000
Te 0.000 0.000 0.000

(b)
Here is TcTe2Rh at its PBEsol-relaxed geometry from the Alexandria database. Energies are from meta-GGA SCAN.

a = 4.657 Å, b = 4.660 Å, c = 4.657 Å
α = 60.02°, β = 90.00°, γ = 119.98°
Sites, in units of the cell vectors:
Te 0.250 0.500 0.250
Rh 0.000 0.000 0.000
Te 0.750 0.500 0.750
Tc 0.500 0.000 0.500

(b) is the most stable structure; the next one sits 201 meV per atom above it.

(a)
Here is Tc2RhW at its PBEsol-relaxed geometry from the Alexandria database. Energies are from meta-GGA SCAN.

a = 2.646 Å, b = 4.889 Å, c = 5.204 Å
α = 116.07°, β = 101.44°, γ = 96.84°
Sites, in units of the cell vectors:
Tc 0.000 0.000 0.500
Rh 0.000 0.500 0.000
Tc 0.500 0.500 0.500
W 0.500 0.000 0.000

(b)
Here is Tc2RhW at its PBEsol-relaxed geometry from the Alexandria database. Energies are from meta-GGA SCAN.

a = 3.841 Å, b = 3.841 Å, c = 4.724 Å
α = 113.99°, β = 113.99°, γ = 90.00°
Sites, in units of the cell vectors:
Tc 0.250 0.750 0.500
Tc 0.750 0.250 0.500
W 0.500 0.500 0.000
Rh 0.000 0.000 0.000

(c)
Here is Tc2RhW at its PBEsol-relaxed geometry from the Alexandria database. Energies are from meta-GGA SCAN.

a = 2.710 Å, b = 4.723 Å, c = 4.727 Å
α = 109.57°, β = 90.00°, γ = 90.00°
Sites, in units of the cell vectors:
Tc 0.500 0.000 0.500
Rh 0.000 0.500 0.500
W 0.500 0.500 0.000
Tc 0.000 0.000 0.000

(d)
Here is Tc2RhW at its PBEsol-relaxed geometry from the Alexandria database. Energies are from meta-GGA SCAN.

a = 3.850 Å, b = 3.850 Å, c = 4.708 Å
α = 114.14°, β = 114.14°, γ = 90.00°
Sites, in units of the cell vectors:
Tc 0.000 0.000 0.000
Tc 0.750 0.250 0.500
W 0.500 0.500 0.000
Rh 0.250 0.750 0.500

(d) is the most stable structure; the next one sits 32 meV per atom above it.

(a)
Here is Tc2RhW at its PBEsol-relaxed geometry from the Alexandria database. Energies are from meta-GGA SCAN.

a = 3.831 Å, b = 3.831 Å, c = 3.872 Å
α = 90.00°, β = 90.00°, γ = 90.00°
Sites, in units of the cell vectors:
Rh 0.000 0.000 0.500
W 0.500 0.500 0.500
Tc 0.000 0.500 0.000
Tc 0.500 0.000 0.000

(b)
Here is Tc2RhW at its PBEsol-relaxed geometry from the Alexandria database. Energies are from meta-GGA SCAN.

a = 3.193 Å, b = 3.193 Å, c = 5.667 Å
α = 90.00°, β = 90.00°, γ = 90.00°
Sites, in units of the cell vectors:
W 0.500 0.500 0.000
Tc 0.000 0.000 0.249
Rh 0.500 0.500 0.500
Tc 0.000 0.000 0.751

(a) is the most stable structure; the next one sits 242 meV per atom above it.

(a)
Here is TcRh2W at its PBEsol-relaxed geometry from the Alexandria database. Energies are from meta-GGA SCAN.

a = 2.689 Å, b = 2.689 Å, c = 7.756 Å
α = 90.00°, β = 90.00°, γ = 90.00°
Sites, in units of the cell vectors:
Tc 0.500 0.500 0.000
Rh 0.000 0.000 0.246
Rh 0.000 0.000 0.754
W 0.500 0.500 0.500

(b)
Here is TcRh2W at its PBEsol-relaxed geometry from the Alexandria database. Energies are from meta-GGA SCAN.

a = 2.691 Å, b = 3.876 Å, c = 5.378 Å
α = 90.00°, β = 90.00°, γ = 90.00°
Sites, in units of the cell vectors:
W 0.500 0.500 0.500
Tc 0.500 0.500 0.000
Rh 0.000 0.000 0.755
Rh 0.000 0.000 0.245

(c)
Here is TcRh2W at its PBEsol-relaxed geometry from the Alexandria database. Energies are from meta-GGA SCAN.

a = 3.797 Å, b = 3.797 Å, c = 3.882 Å
α = 90.00°, β = 90.00°, γ = 90.00°
Sites, in units of the cell vectors:
W 0.000 0.000 0.500
Rh 0.000 0.500 0.000
Tc 0.500 0.500 0.500
Rh 0.500 0.000 0.000

(d)
Here is TcRh2W at its PBEsol-relaxed geometry from the Alexandria database. Energies are from meta-GGA SCAN.

a = 3.211 Å, b = 3.211 Å, c = 5.552 Å
α = 90.00°, β = 90.00°, γ = 90.00°
Sites, in units of the cell vectors:
Tc 0.000 0.000 0.492
Rh 0.500 0.500 0.253
Rh 0.000 0.000 0.998
W 0.500 0.500 0.758

(c) is the most stable structure; the next one sits 45 meV per atom above it.

(a)
Here is TcRh2W at its PBEsol-relaxed geometry from the Alexandria database. Energies are from meta-GGA SCAN.

a = 2.702 Å, b = 4.353 Å, c = 4.754 Å
α = 90.00°, β = 90.00°, γ = 90.00°
Sites, in units of the cell vectors:
Rh 0.000 0.000 0.040
Tc 0.500 0.000 0.546
Rh 0.000 0.500 0.703
W 0.500 0.500 0.211

(b)
Here is TcRh2W at its PBEsol-relaxed geometry from the Alexandria database. Energies are from meta-GGA SCAN.

a = 3.798 Å, b = 3.798 Å, c = 4.721 Å
α = 113.72°, β = 113.72°, γ = 90.00°
Sites, in units of the cell vectors:
Tc 0.000 0.000 0.000
Rh 0.750 0.250 0.500
Rh 0.250 0.750 0.500
W 0.500 0.500 0.000

(c)
Here is TcRh2W at its PBEsol-relaxed geometry from the Alexandria database. Energies are from meta-GGA SCAN.

a = 2.692 Å, b = 4.719 Å, c = 4.719 Å
α = 110.68°, β = 90.00°, γ = 90.00°
Sites, in units of the cell vectors:
Rh 0.000 0.000 0.500
W 0.500 0.500 0.500
Tc 0.500 0.000 0.000
Rh 0.000 0.500 0.000

(a) is the most stable structure; the next one sits 43 meV per atom above it.

(a)
Here is YTcRh2 at its PBEsol-relaxed geometry from the Alexandria database. Energies are from meta-GGA SCAN.

a = 4.059 Å, b = 4.130 Å, c = 4.797 Å
α = 115.50°, β = 115.03°, γ = 90.00°
Sites, in units of the cell vectors:
Rh 0.248 0.248 0.496
Rh 0.752 0.752 0.504
Tc 0.500 0.000 0.000
Y 0.000 0.500 0.000

(b)
Here is YTcRh2 at its PBEsol-relaxed geometry from the Alexandria database. Energies are from meta-GGA SCAN.

a = 2.851 Å, b = 4.773 Å, c = 5.069 Å
α = 99.52°, β = 90.00°, γ = 107.38°
Sites, in units of the cell vectors:
Y 0.500 0.000 0.000
Tc 0.000 0.000 0.500
Rh 0.744 0.488 0.712
Rh 0.256 0.512 0.288

(a) is the most stable structure; the next one sits 120 meV per atom above it.

(a)
Here is Zn2TcRh at its PBEsol-relaxed geometry from the Alexandria database. Energies are from meta-GGA SCAN.

a = 2.895 Å, b = 2.895 Å, c = 6.360 Å
α = 90.00°, β = 90.00°, γ = 90.00°
Sites, in units of the cell vectors:
Rh 0.500 0.500 0.000
Tc 0.500 0.500 0.500
Zn 0.000 0.000 0.761
Zn 0.000 0.000 0.239

(b)
Here is Zn2TcRh at its PBEsol-relaxed geometry from the Alexandria database. Energies are from meta-GGA SCAN.

a = 2.650 Å, b = 4.249 Å, c = 4.869 Å
α = 90.00°, β = 96.54°, γ = 90.00°
Sites, in units of the cell vectors:
Zn 0.709 0.000 0.750
Rh 0.500 0.500 0.000
Tc 0.000 0.500 0.500
Zn 0.291 0.000 0.250

(a) is the most stable structure; the next one sits 31 meV per atom above it.

(a)
Here is Tl2TeRh at its PBEsol-relaxed geometry from the Alexandria database. Energies are from meta-GGA SCAN.

a = 5.016 Å, b = 5.031 Å, c = 5.016 Å
α = 60.10°, β = 90.00°, γ = 119.90°
Sites, in units of the cell vectors:
Te 0.750 0.500 0.750
Tl 0.250 0.500 0.250
Rh 0.500 0.000 0.500
Tl 0.000 0.000 0.000

(b)
Here is Tl2TeRh at its PBEsol-relaxed geometry from the Alexandria database. Energies are from meta-GGA SCAN.

a = 3.409 Å, b = 3.409 Å, c = 9.477 Å
α = 79.64°, β = 79.64°, γ = 60.00°
Sites, in units of the cell vectors:
Te 0.000 0.000 0.000
Tl 0.235 0.235 0.295
Tl 0.765 0.765 0.705
Rh 0.500 0.500 0.500

(b) is the most stable structure; the next one sits 53 meV per atom above it.

(a)
Here is Tl2TeRh at its PBEsol-relaxed geometry from the Alexandria database. Energies are from meta-GGA SCAN.

a = 3.841 Å, b = 3.841 Å, c = 8.088 Å
α = 76.26°, β = 76.26°, γ = 60.00°
Sites, in units of the cell vectors:
Rh 0.505 0.505 0.485
Tl 0.766 0.766 0.703
Te 0.227 0.227 0.319
Tl 0.002 0.002 0.994

(b)
Here is Tl2TeRh at its PBEsol-relaxed geometry from the Alexandria database. Energies are from meta-GGA SCAN.

a = 4.074 Å, b = 4.976 Å, c = 6.007 Å
α = 114.41°, β = 90.00°, γ = 90.00°
Sites, in units of the cell vectors:
Rh 0.500 0.000 0.500
Tl 0.000 0.831 0.162
Te 0.500 0.500 0.500
Tl 0.000 0.169 0.838

(a) is the most stable structure; the next one sits 96 meV per atom above it.

(a)
Here is ZnTeRh2 at its PBEsol-relaxed geometry from the Alexandria database. Energies are from meta-GGA SCAN.

a = 3.535 Å, b = 3.712 Å, c = 5.528 Å
α = 109.62°, β = 108.65°, γ = 90.00°
Sites, in units of the cell vectors:
Te 0.468 0.468 0.935
Rh 0.032 0.032 0.063
Rh 0.779 0.279 0.559
Zn 0.221 0.721 0.443

(b)
Here is ZnTeRh2 at its PBEsol-relaxed geometry from the Alexandria database. Energies are from meta-GGA SCAN.

a = 3.197 Å, b = 4.370 Å, c = 4.975 Å
α = 102.20°, β = 90.00°, γ = 111.46°
Sites, in units of the cell vectors:
Te 0.000 0.000 0.500
Rh 0.250 0.499 0.247
Rh 0.750 0.501 0.753
Zn 0.500 0.000 0.000

(a) is the most stable structure; the next one sits 41 meV per atom above it.

(a)
Here is ZnTeRh2 at its PBEsol-relaxed geometry from the Alexandria database. Energies are from meta-GGA SCAN.

a = 3.743 Å, b = 3.841 Å, c = 4.360 Å
α = 90.00°, β = 90.00°, γ = 90.00°
Sites, in units of the cell vectors:
Zn 0.500 0.685 0.500
Rh 0.000 0.196 0.500
Te 0.000 0.569 0.000
Rh 0.500 0.050 0.000

(b)
Here is ZnTeRh2 at its PBEsol-relaxed geometry from the Alexandria database. Energies are from meta-GGA SCAN.

a = 4.460 Å, b = 4.460 Å, c = 4.460 Å
α = 60.00°, β = 60.00°, γ = 60.00°
Sites, in units of the cell vectors:
Rh 0.750 0.750 0.750
Rh 0.000 0.000 0.000
Zn 0.250 0.250 0.250
Te 0.500 0.500 0.500

(a) is the most stable structure; the next one sits 308 meV per atom above it.